PBE AcFeAs, relaxed; Fermi-level density of states = 0.3539 states/eV per atom; ΔE to the lowest computed polymorph = 0 meV per atom; energy of formation from the pure elements = -614 meV/atom; total energy = -6.354 eV/atom; symmetry = P4/nmm
1.0
3.9993 -0.7744 -0.0133
0.7743 3.9993 -0.0133
0.0337 0.0228 8.5556
Ac As Fe
2 2 2
direct
0.7499 0.7499 0.2958
0.2501 0.2501 0.7042
0.7500 0.7500 0.8584
0.2500 0.2500 0.1416
0.7500 0.2500 0.0000
0.2500 0.7500 0.0000

---

PBE Na2SnGeO, relaxed; Fermi-level density of states = 0.7410 states/eV per atom; total energy = -3.061 eV/atom; symmetry = P4/mmm; formation energy (no corrections) = 0.182 eV/atom
1.0
-5.5194 -1.0109 -2.5114
1.4764 -3.2270 -1.9459
-1.5164 -3.5699 4.7696
Na Ge Sn O
2 1 1 1
direct
0.0000 0.0000 0.5000
0.5000 0.0000 0.0000
0.5000 0.5000 0.5000
0.0000 0.0000 0.0000
0.0000 0.5000 0.0000

---

PBE HRhN2F, relaxed; Fermi-level density of states = 0.4720 states/eV per atom; ΔE to the lowest computed polymorph = 293 meV per atom; total energy = -4.404 eV/atom; symmetry = P4/mmm
1.0
3.1728 0.0000 0.0000
0.0000 3.1728 0.0000
0.0000 0.0000 3.9368
H N Rh F
1 2 1 1
direct
0.0000 0.0000 0.0000
0.0000 0.5000 0.0000
0.5000 0.0000 0.0000
0.5000 0.5000 0.5000
0.0000 0.0000 0.5000

---

PBE HfMg2Rh4, relaxed; Fermi-level density of states = 0.6945 states/eV per atom; energy of formation from the pure elements = -397 meV/atom; total energy = -6.476 eV/atom; symmetry = I4/mmm
1.0
4.1323 0.0000 -1.3173
-0.4199 4.1109 -1.3173
-0.0608 -0.0673 6.9495
Hf Mg Rh
1 2 4
direct
0.0000 0.0000 0.0000
0.7434 0.7434 0.4867
0.2566 0.2566 0.5133
0.3794 0.8794 0.7589
0.8794 0.3794 0.7589
0.6206 0.1206 0.2411
0.1206 0.6206 0.2411